[1]
Here is a relaxed structure of Nb4SnPN2 from the Open Quantum Materials Database. Energies are from PBE.

Computed properties:
The calculation puts the size of the total moment at 0.02 μB per cell. Its total energy is -9.0166 eV/atom.

The structure in POSCAR format:
```
Nb4SnPN2
1.0
3.2927 0.0000 0.0000
-1.6463 2.8515 0.0000
0.0000 0.0000 12.5713
Nb Sn P N
4 1 1 2
Cartesian
0.0000 0.0000 1.7247 Nb
0.0000 0.0000 10.8466 Nb
1.6463 0.9505 3.9562 Nb
1.6463 0.9505 8.6150 Nb
0.0000 0.0000 6.2856 Sn
1.6463 0.9505 0.0000 P
0.0000 1.9010 2.9453 N
0.0000 1.9010 9.6259 N
```



[2]
Here is a relaxed structure of KCdPbAu from the Open Quantum Materials Database. Energies are from PBE.

Computed properties:
Its total energy is -2.3005 eV/atom.

The structure in POSCAR format:
```
KCdPbAu
1.0
0.0000 3.7873 3.7873
3.7873 0.0000 3.7873
3.7873 3.7873 0.0000
K Cd Pb Au
1 1 1 1
Cartesian
0.0000 0.0000 0.0000 K
5.6810 5.6810 5.6810 Cd
3.7873 3.7873 3.7873 Pb
1.8937 1.8937 1.8937 Au
```



[3]
Here is a relaxed structure of K2Rb2CdBi2 from the Open Quantum Materials Database. Energies are from PBE.

Computed properties:
Its total energy is -2.2470 eV/atom.

The structure in POSCAR format:
```
K2Rb2CdBi2
1.0
3.1566 1.8225 10.1107
-3.1566 1.8225 10.1107
0.0000 -3.6449 10.1107
K Rb Cd Bi
2 2 1 2
Cartesian
0.0000 0.0000 6.3440 K
0.0000 0.0000 23.9881 K
0.0000 0.0000 11.6752 Rb
0.0000 0.0000 18.6569 Rb
0.0000 0.0000 0.0000 Cd
0.0000 0.0000 2.7782 Bi
0.0000 0.0000 27.5539 Bi
```



[4]
Here is a relaxed structure of RbPdAuO3 from the Open Quantum Materials Database. Energies are from PBE.

Computed properties:
Its total energy is -4.6260 eV/atom.

The structure in POSCAR format:
```
RbPdAuO3
1.0
11.9460 0.0000 0.0000
0.0000 3.1872 0.0000
0.0000 0.0000 10.5548
Rb Pd Au O
4 4 4 12
Cartesian
2.7884 0.7968 1.5915 Rb
3.1846 2.3904 6.8689 Rb
8.7614 0.7968 3.6859 Rb
9.1577 2.3904 8.9633 Rb
0.1952 0.7968 3.9788 Pd
5.7778 2.3904 9.2562 Pd
6.1682 0.7968 1.2986 Pd
11.7509 2.3904 6.5760 Pd
0.3180 0.7968 9.6120 Au
5.6551 2.3904 4.3346 Au
6.2910 0.7968 6.2202 Au
11.6281 2.3904 0.9428 Au
0.8349 2.3904 8.2928 O
0.9596 0.7968 5.8860 O
1.3278 2.3904 3.4035 O
4.6452 0.7968 8.6809 O
5.0134 2.3904 0.6086 O
5.1381 0.7968 3.0154 O
6.8079 2.3904 7.5394 O
6.9326 0.7968 9.9462 O
7.3008 2.3904 1.8739 O
10.6182 0.7968 7.1513 O
10.9864 2.3904 4.6688 O
11.1112 0.7968 2.2620 O
```



[5]
Here is a relaxed structure of AlRe5 from the Open Quantum Materials Database. Energies are from PBE.

Computed properties:
The calculation puts the size of the total moment at 0.00 μB per cell. Its total energy is -10.7139 eV/atom.

The structure in POSCAR format:
```
AlRe5
1.0
2.5345 -4.3317 0.0000
2.5345 4.3317 0.0000
0.0000 0.0000 8.2482
Al Re
2 10
Cartesian
2.5345 2.9003 6.1861 Al
2.5345 -2.9003 2.0620 Al
0.0000 0.0000 0.0000 Re
0.0000 0.0000 4.1241 Re
1.3246 0.7829 6.1861 Re
2.5345 1.4124 0.5513 Re
2.5345 1.4124 3.5728 Re
1.3246 -0.7829 2.0620 Re
3.7443 0.7829 6.1861 Re
2.5345 -1.4124 4.6754 Re
2.5345 -1.4124 7.6969 Re
3.7443 -0.7829 2.0620 Re
```



[6]
Here is a relaxed structure of YCdCoSb from the Open Quantum Materials Database. Energies are from PBE.

Computed properties:
The calculation puts the size of the total moment at 0.98 μB per cell. Its total energy is -4.7004 eV/atom.

The structure in POSCAR format:
```
YCdCoSb
1.0
0.0000 3.4635 3.4635
3.4635 0.0000 3.4635
3.4635 3.4635 0.0000
Y Cd Co Sb
1 1 1 1
Cartesian
0.0000 0.0000 0.0000 Y
5.1953 5.1953 5.1953 Cd
3.4635 3.4635 3.4635 Co
1.7318 1.7318 1.7318 Sb
```



[7]
Here is a relaxed structure of InAgGeSeS2 from the Open Quantum Materials Database. Energies are from PBE.

Computed properties:
Its total energy is -3.8107 eV/atom.

The structure in POSCAR format:
```
InAgGeSeS2
1.0
1.8194 -6.8292 0.0000
1.8194 6.8292 0.0000
0.0000 0.0000 10.5649
In Ag Ge Se S
2 2 2 2 4
Cartesian
1.8194 4.3265 7.9237 In
1.8194 -4.3265 2.6412 In
1.8194 4.7662 2.6412 Ag
1.8194 -4.7662 7.9237 Ag
1.8194 0.0000 0.0000 Ge
1.8194 0.0000 5.2825 Ge
1.8194 0.3779 2.6412 Se
1.8194 -0.3779 7.9237 Se
1.8194 5.1006 0.1886 S
1.8194 5.1006 5.0939 S
1.8194 -5.1006 5.4710 S
1.8194 -5.1006 10.3764 S
```



[8]
Here is a relaxed structure of LaTm2Mg3AgHg2 from the Open Quantum Materials Database. Energies are from PBE.

Computed properties:
The calculation puts the size of the total moment at 0.07 μB per cell. Its total energy is -2.7870 eV/atom.

The structure in POSCAR format:
```
LaTm2Mg3AgHg2
1.0
4.2120 0.0000 0.0000
0.0000 6.8231 3.8768
0.0000 -6.8231 3.8768
La Tm Mg Ag Hg
1 2 3 1 2
Cartesian
0.0000 0.0000 0.0000 La
0.0000 -2.7892 4.7787 Tm
0.0000 2.7892 4.7787 Tm
2.1060 -1.6792 2.2739 Mg
2.1060 1.6792 2.2739 Mg
2.1060 0.0000 5.0636 Mg
0.0000 0.0000 3.2652 Ag
2.1060 -4.4500 3.1742 Hg
2.1060 4.4500 3.1742 Hg
```



[9]
Here is a relaxed structure of ScInFeOs from the Open Quantum Materials Database. Energies are from PBE.

Computed properties:
The calculation puts the size of the total moment at 3.60 μB per cell. Its total energy is -7.0484 eV/atom.

The structure in POSCAR format:
```
ScInFeOs
1.0
0.0000 3.2251 3.2251
3.2251 0.0000 3.2251
3.2251 3.2251 0.0000
Sc In Fe Os
1 1 1 1
Cartesian
0.0000 0.0000 0.0000 Sc
1.6126 1.6126 1.6126 In
3.2251 3.2251 3.2251 Fe
4.8377 4.8377 4.8377 Os
```



[10]
Here is a relaxed structure of PrMgPt from the Open Quantum Materials Database. Energies are from PBE.

Computed properties:
The calculation puts the size of the total moment at 0.00 μB per cell. Its total energy is -4.1617 eV/atom.

The structure in POSCAR format:
```
PrMgPt
1.0
0.0000 3.4679 3.4679
3.4679 0.0000 3.4679
3.4679 3.4679 0.0000
Pr Mg Pt
1 1 1
Cartesian
0.0000 0.0000 0.0000 Pr
5.2018 5.2018 5.2018 Mg
1.7339 1.7339 1.7339 Pt
```



[11]
Here is a relaxed structure of KAgGeTeSe2 from the Open Quantum Materials Database. Energies are from PBE.

Computed properties:
Its total energy is -3.4182 eV/atom.

The structure in POSCAR format:
```
KAgGeTeSe2
1.0
1.8490 -8.0531 0.0000
1.8490 8.0531 0.0000
0.0000 0.0000 11.3436
K Ag Ge Te Se
2 2 2 2 4
Cartesian
1.8490 4.0548 8.5077 K
1.8490 -4.0548 2.8359 K
1.8490 6.8453 2.8359 Ag
1.8490 -6.8453 8.5077 Ag
1.8490 0.0000 0.0000 Ge
1.8490 0.0000 5.6718 Ge
1.8490 0.9856 2.8359 Te
1.8490 -0.9856 8.5077 Te
1.8490 6.1724 0.3716 Se
1.8490 6.1724 5.3002 Se
1.8490 -6.1724 6.0434 Se
1.8490 -6.1724 10.9720 Se
```



[12]
Here is a relaxed structure of MgUGa from the Open Quantum Materials Database. Energies are from PBE.

Computed properties:
The calculation puts the size of the total moment at 3.05 μB per cell. Its total energy is -4.3878 eV/atom.

The structure in POSCAR format:
```
MgUGa
1.0
0.0000 3.4448 3.4448
3.4448 0.0000 3.4448
3.4448 3.4448 0.0000
Mg U Ga
1 1 1
Cartesian
0.0000 0.0000 0.0000 Mg
5.1673 5.1673 5.1673 U
3.4448 3.4448 3.4448 Ga
```